[1]
NaSc3C | PBE-GGA | optimized geometry

Properties
Fermi-level density of states   8.60 states/eV/f.u.
Relative energy among the computed polymorphs   2208 meV/atom
DFT total energy   -18.561 eV per cell
ΔE_f   2.1954 eV per atom

a = 5.007 Å, b = 5.007 Å, c = 5.007 Å
α = 90.00°, β = 90.00°, γ = 90.00°
Sites, in units of the cell vectors:
Na1 0.000 0.000 0.000
Sc1 0.000 0.000 0.500
Sc2 0.000 0.500 0.000
Sc3 0.500 0.000 0.000
C1 0.500 0.500 0.500

=====

[2]
NaSc3C | PBE-GGA | optimized geometry

Properties
Fermi-level density of states   6.28 states/eV/f.u.
Relative energy among the computed polymorphs   0 meV/atom
DFT total energy   -29.602 eV per cell
ΔE_f   -0.0128 eV per atom

a = 4.680 Å, b = 4.680 Å, c = 4.680 Å
α = 90.00°, β = 90.00°, γ = 90.00°
Sites, in units of the cell vectors:
Na1 0.000 0.000 0.000
Sc1 0.000 0.500 0.500
Sc2 0.500 0.000 0.500
Sc3 0.500 0.500 0.000
C1 0.500 0.500 0.500

=====

[3]
NaScC3 | PBE-GGA | optimized geometry

Properties
Fermi-level density of states   2.03 states/eV/f.u.
Relative energy among the computed polymorphs   0 meV/atom
DFT total energy   -24.948 eV per cell
ΔE_f   2.0749 eV per atom

a = 4.315 Å, b = 4.315 Å, c = 4.315 Å
α = 90.00°, β = 90.00°, γ = 90.00°
Sites, in units of the cell vectors:
Na1 0.000 0.000 0.000
Sc1 0.500 0.500 0.500
C1 0.000 0.500 0.500
C2 0.500 0.000 0.500
C3 0.500 0.500 0.000

=====

[4]
NaScTa2C | PBE-GGA | optimized geometry

Properties
Fermi-level density of states   4.91 states/eV/f.u.
DFT total energy   -39.184 eV per cell
ΔE_f   0.2792 eV per atom

a = 4.339 Å, b = 4.339 Å, c = 4.716 Å
α = 90.00°, β = 90.00°, γ = 90.00°
Sites, in units of the cell vectors:
Na1 0.000 0.000 0.000
Sc1 0.500 0.500 0.000
Ta1 0.000 0.500 0.500
Ta2 0.500 0.000 0.500
C1 0.500 0.500 0.500

=====

[5]
NaScTiC2 | PBE-GGA | optimized geometry

Properties
Fermi-level density of states   3.94 states/eV/f.u.
DFT total energy   -24.624 eV per cell
ΔE_f   1.8739 eV per atom

a = 4.401 Å, b = 4.401 Å, c = 4.528 Å
α = 90.00°, β = 90.00°, γ = 90.00°
Sites, in units of the cell vectors:
Na1 0.000 0.000 0.000
Sc1 0.500 0.500 0.500
Ti1 0.500 0.500 0.000
C1 0.000 0.500 0.500
C2 0.500 0.000 0.500

=====

[6]
Na3CSe | PBE-GGA | optimized geometry

Properties
Formation energy from raw total energies   419 meV per atom
Fermi-level density of states   0.00 states/eV/f.u.
Relative energy among the computed polymorphs   0 meV/atom
DFT total energy   -14.569 eV per cell

a = 4.856 Å, b = 4.856 Å, c = 4.856 Å
α = 90.00°, β = 90.00°, γ = 90.00°
Sites, in units of the cell vectors:
Na1 0.000 0.000 0.500
Na2 0.000 0.500 0.000
Na3 0.500 0.000 0.000
C1 0.000 0.000 0.000
Se1 0.500 0.500 0.500

=====

[7]
Na2CSe | PBE-GGA | optimized geometry

Properties
Formation energy from raw total energies   606 meV per atom
Fermi-level density of states   2.26 states/eV/f.u.
Relative energy among the computed polymorphs   0 meV/atom
DFT total energy   -25.841 eV per cell

a = 7.327 Å, b = 7.327 Å, c = 7.327 Å
α = 94.81°, β = 94.81°, γ = 146.34°
Sites, in units of the cell vectors:
Na1 0.375 0.130 0.255
Na2 0.870 0.125 0.245
Na3 0.875 0.120 0.745
Na4 0.880 0.625 0.755
C1 0.000 0.000 0.000
C2 0.750 0.250 0.500
Se1 0.250 0.750 0.500
Se2 0.500 0.500 0.000

=====

[8]
Na2CSe | PBE-GGA | optimized geometry

Properties
Formation energy from raw total energies   800 meV per atom
Fermi-level density of states   2.15 states/eV/f.u.
Relative energy among the computed polymorphs   193 meV/atom
DFT total energy   -12.147 eV per cell

a = 4.806 Å, b = 4.806 Å, c = 4.806 Å
α = 60.00°, β = 60.00°, γ = 60.00°
Sites, in units of the cell vectors:
Na1 0.250 0.250 0.250
Na2 0.750 0.750 0.750
C1 0.000 0.000 0.000
Se1 0.500 0.500 0.500

=====

[9]
NaTe2CSe | PBE-GGA | optimized geometry

Properties
Formation energy from raw total energies   684 meV per atom
Fermi-level density of states   2.99 states/eV/f.u.
Relative energy among the computed polymorphs   0 meV/atom
DFT total energy   -16.893 eV per cell

a = 4.672 Å, b = 4.672 Å, c = 5.088 Å
α = 90.00°, β = 90.00°, γ = 90.00°
Sites, in units of the cell vectors:
Na1 0.000 0.000 0.000
Te1 0.000 0.500 0.500
Te2 0.500 0.000 0.500
C1 0.000 0.000 0.500
Se1 0.500 0.500 0.000

=====

[10]
NaTe2CSe | PBE-GGA | optimized geometry

Properties
Formation energy from raw total energies   903 meV per atom
Fermi-level density of states   3.39 states/eV/f.u.
Relative energy among the computed polymorphs   219 meV/atom
DFT total energy   -15.796 eV per cell

a = 5.904 Å, b = 5.904 Å, c = 3.797 Å
α = 90.00°, β = 90.00°, γ = 90.00°
Sites, in units of the cell vectors:
Na1 0.000 0.000 0.000
Te1 0.000 0.500 0.500
Te2 0.500 0.000 0.500
C1 0.500 0.500 0.000
Se1 0.500 0.500 0.500

=====

[11]
NaTeCSe2 | PBE-GGA | optimized geometry

Properties
Formation energy from raw total energies   1470 meV per atom
Fermi-level density of states   5.27 states/eV/f.u.
DFT total energy   -13.306 eV per cell

a = 5.425 Å, b = 5.425 Å, c = 5.963 Å
α = 90.00°, β = 90.00°, γ = 90.00°
Sites, in units of the cell vectors:
Na1 0.000 0.000 0.000
Te1 0.000 0.000 0.500
C1 0.500 0.500 0.000
Se1 0.000 0.500 0.500
Se2 0.500 0.000 0.500

=====

[12]
NaSiC3 | PBE-GGA | optimized geometry

Properties
Formation energy from raw total energies   1769 meV per atom
Fermi-level density of states   2.32 states/eV/f.u.
Relative energy among the computed polymorphs   0 meV/atom
DFT total energy   -25.570 eV per cell

a = 3.815 Å, b = 3.815 Å, c = 3.815 Å
α = 90.00°, β = 90.00°, γ = 90.00°
Sites, in units of the cell vectors:
Na1 0.000 0.000 0.000
Si1 0.500 0.500 0.500
C1 0.000 0.500 0.500
C2 0.500 0.000 0.500
C3 0.500 0.500 0.000